Record 1
Material: Tb3Zn2Cd4
Method: DFT, GGA-PBE
State: relaxed

Total magnetic moment   0.00 Bohr magnetons per cell
Energy of formation from the pure elements   -30.7 kJ per mole of atoms
V   420.0 Å³ per cell
VASP energy   -45.92 eV for the cell shown
Crystal system   monoclinic

a b c (Å): 10.8628 4.8369 9.0304
angles (deg): 90.00 117.73 90.00
Closest atoms and distances in Å follow each position.
Space group C2/m (No. 12)
One atom of each set of equivalent atoms:
Tb 0.0000 0.0000 0.0000 x2  8 Cd 3.23-3.34, 4 Zn 3.28, 2 Tb 3.48
Tb 0.1676 0.5000 0.6625 x4  8 Cd 3.22-3.36, 4 Zn 3.22-3.29, 2 Tb 3.45-3.48
Zn 0.1081 0.5000 0.2777 x4  3 Cd 2.74-2.75
Cd 0.0561 0.0000 0.3839 x4  2 Zn 2.75, 1 Cd 2.88
Cd 0.2186 0.5000 0.0594 x4  1 Zn 2.74, 2 Cd 2.85



Record 2
Material: Tb2ZnCd2
Method: DFT, GGA-PBE
State: relaxed

Total magnetic moment   0.00 Bohr magnetons per cell
Energy of formation from the pure elements   -20.5 kJ per mole of atoms
V   253.0 Å³ per cell
VASP energy   -26.85 eV for the cell shown
Distance to the lowest polymorph of the same formula   45.1 meV per atom
Crystal system   orthorhombic

a b c (Å): 3.5518 20.4586 3.4812
angles (deg): 90.00 90.00 90.00
Closest atoms and distances in Å follow each position.
Space group Cmmm (No. 65)
One atom of each set of equivalent atoms:
Tb 0.0000 0.0877 0.0000 x4  4 Zn 3.07, 4 Cd 3.29
Zn 0.0000 0.5000 0.5000 x2  8 Tb 3.07
Cd 0.0000 0.3072 0.5000 x4  2 Cd 2.94, 4 Tb 3.29



Record 3
Material: Tb5ZnCd4
Method: DFT, GGA-PBE
State: relaxed

Total magnetic moment   0.65 Bohr magnetons per cell
Energy of formation from the pure elements   -30.9 kJ per mole of atoms
V   258.0 Å³ per cell
VASP energy   -31.29 eV for the cell shown
Crystal system   tetragonal

a b c (Å): 3.6987 3.6987 18.8586
angles (deg): 90.00 90.00 90.00
Closest atoms and distances in Å follow each position.
Space group P4/mmm (No. 123)
One atom of each set of equivalent atoms:
Tb 0.0000 0.0000 0.0000 x1  8 Cd 3.25
Tb 0.0000 0.0000 0.2042 x2  8 Cd 3.25
Tb 0.0000 0.0000 0.4096 x2  4 Zn 3.12, 4 Cd 3.26, 1 Tb 3.41
Zn 0.5000 0.5000 0.5000 x1  8 Tb 3.12
Cd 0.5000 0.5000 0.1020 x2  8 Tb 3.25
Cd 0.5000 0.5000 0.3061 x2  8 Tb 3.25-3.26



Record 4
Material: TbZnCd4
Method: DFT, GGA-PBE
State: relaxed

Total magnetic moment   0.00 Bohr magnetons per cell
Energy of formation from the pure elements   -9.3 kJ per mole of atoms
V   559.4 Å³ per cell
VASP energy   -40.58 eV for the cell shown
Crystal system   monoclinic

a b c (Å): 16.4429 7.0880 5.0390
angles (deg): 90.00 107.72 90.00
Closest atoms and distances in Å follow each position.
Space group C2/m (No. 12)
One atom of each set of equivalent atoms:
Tb 0.2023 0.0000 0.2015 x4  12 Cd 3.20-3.58
Zn 0.0023 0.5000 0.7381 x4  1 Zn 2.38, 2 Cd 2.61
Cd 0.0000 0.1836 0.0000 x4  1 Cd 2.60, 2 Zn 2.61
Cd 0.1254 0.2301 0.6248 x8  2 Zn 2.96-3.01, 5 Cd 3.21-3.26, 3 Tb 3.23-3.31
Cd 0.1713 0.5000 0.1737 x4  2 Zn 2.97-3.02, 2 Tb 3.20-3.21, 4 Cd 3.23-3.26



Record 5
Material: TbZn2Cd4
Method: DFT, GGA-PBE
State: relaxed

Total magnetic moment   0.00 Bohr magnetons per cell
Energy of formation from the pure elements   -17.1 kJ per mole of atoms
V   299.1 Å³ per cell
VASP energy   -24.16 eV for the cell shown
Crystal system   orthorhombic

a b c (Å): 4.4749 16.3857 4.0794
angles (deg): 90.00 90.00 90.00
Closest atoms and distances in Å follow each position.
Space group Cmmm (No. 65)
One atom of each set of equivalent atoms:
Tb 0.0000 0.0000 0.0000 x2  8 Zn 3.25, 4 Cd 3.47
Zn 0.0000 0.4275 0.5000 x4  1 Zn 2.38
Cd 0.0000 0.1715 0.5000 x4  2 Zn 2.76, 4 Cd 3.03
Cd 0.0000 0.3160 0.0000 x4  2 Zn 2.74, 4 Cd 3.03



Record 6
Material: TbZn4Cd8
Method: DFT, GGA-PBE
State: relaxed

Total magnetic moment   0.00 Bohr magnetons per cell
Energy of formation from the pure elements   -9.6 kJ per mole of atoms
V   524.4 Å³ per cell
VASP energy   -36.69 eV for the cell shown
Crystal system   tetragonal

a b c (Å): 9.5980 9.5980 5.6924
angles (deg): 90.00 90.00 90.00
Closest atoms and distances in Å follow each position.
Space group I4/mmm (No. 139)
One atom of each set of equivalent atoms:
Tb 0.0000 0.0000 0.0000 x2  12 Cd 3.31-3.52, 8 Zn 3.68
Zn 0.2500 0.2500 0.2500 x8  8 Cd 2.81-2.93, 2 Zn 2.85
Cd 0.0000 0.2166 0.5000 x8  4 Zn 2.81, 6 Cd 2.94-3.10
Cd 0.0000 0.3445 0.0000 x8  4 Zn 2.93, 5 Cd 2.99-3.10